Ce4HoP6: relaxed, PBE.

Structure (CIF):
```
data_Ce4HoP6
_cell_length_a 11.1159
_cell_length_b 11.1159
_cell_length_c 14.0476
_cell_angle_alpha 90.00
_cell_angle_beta 90.00
_cell_angle_gamma 120.00
_space_group_name_H-M_alt 'R -3 c'
_space_group_IT_number 167
_space_group_name_Hall '-R 3 2"c'
loop_
_atom_site_label
_atom_site_type_symbol
_atom_site_fract_x
_atom_site_fract_y
_atom_site_fract_z
Ce1 Ce 0.0000 0.0000 0.2500
Ce2 Ce 0.0000 0.3800 0.2500
Ho1 Ho 0.0000 0.0000 0.0000
P1 P 0.0273 0.2082 0.3869
```

calculated formation energy = -28.9 kcal/mol of atoms
magnetization = 1.27 μB per formula unit

Ce2HoPaP4: relaxed, PBE.

Structure (CIF):
```
data_Ce2HoPaP4
_cell_length_a 6.958
_cell_length_b 4.032
_cell_length_c 6.999
_cell_angle_alpha 90.00
_cell_angle_beta 109.43
_cell_angle_gamma 90.00
_space_group_name_H-M_alt 'P 1 2/m 1'
_space_group_IT_number 10
loop_
_space_group_symop_operation_xyz
'x,y,z'
'-x,-y,-z'
'-x,y,-z'
'x,-y,z'
loop_
_atom_site_label
_atom_site_type_symbol
_atom_site_fract_x
_atom_site_fract_y
_atom_site_fract_z
Ce1 Ce 0.000 0.000 0.000
Ce2 Ce 0.500 0.500 0.000
Ho1 Ho 0.000 0.500 0.500
Pa1 Pa 0.500 0.000 0.500
P1 P 0.251 0.000 0.742
P2 P 0.255 0.500 0.260
```

calculated formation energy = -34.2 kcal/mol of atoms
magnetization = 1.24 μB per formula unit

What is the magnetization in the first record? 1.27 μB per formula unit

calculated formation energy of number 2 (Ce2HoPaP4)? -34.2 kcal/mol of atoms